Entry 1:
## Sr2PmSnS5 (PBE)

Data for an optimized crystal structure of Sr2PmSnS5.

Properties
Mass density (g/cm3): 4.3
DOS(E_F) (states/eV/cell): 3.020

Lattice parameters (Å, degrees): 8.985 8.985 12.624 90.00 90.00 152.77
Positions (direct):
Sr 0.110 0.890 0.500
Sr 0.136 0.864 0.118
Sr 0.864 0.136 0.618
Sr 0.890 0.110 0.000
Pm 0.215 0.785 0.830
Pm 0.785 0.215 0.330
Sn 0.468 0.532 0.271
Sn 0.532 0.468 0.771
S 0.052 0.948 0.883
S 0.282 0.718 0.479
S 0.319 0.681 0.185
S 0.371 0.629 0.814
S 0.492 0.508 0.581
S 0.508 0.492 0.081
S 0.629 0.371 0.314
S 0.681 0.319 0.685
S 0.718 0.282 0.979
S 0.948 0.052 0.383

Entry 2:
## Pm6Sn2Te3S (PBE)

Data for an optimized crystal structure of Pm6Sn2Te3S.

Properties
Mass density (g/cm3): 6.9
DOS(E_F) (states/eV/cell): 4.912

Lattice parameters (Å, degrees): 9.922 9.922 8.893 103.97 103.97 25.65
Positions (direct):
Pm 0.002 0.002 0.226
Pm 0.332 0.332 0.423
Pm 0.344 0.344 0.917
Pm 0.656 0.656 0.083
Pm 0.668 0.668 0.577
Pm 0.998 0.998 0.774
Sn 0.165 0.165 0.330
Sn 0.835 0.835 0.670
Te 0.169 0.169 0.835
Te 0.500 0.500 0.500
Te 0.831 0.831 0.165
S 0.500 0.500 0.000

Entry 3:
## Pm6SnTe3S2 (PBE)

Data for an optimized crystal structure of Pm6SnTe3S2.

Properties
Mass density (g/cm3): 6.9
DOS(E_F) (states/eV/cell): 3.649

Lattice parameters (Å, degrees): 9.778 9.778 8.764 104.69 104.69 25.36
Positions (direct):
Pm 0.013 0.013 0.252
Pm 0.323 0.323 0.438
Pm 0.332 0.332 0.887
Pm 0.668 0.668 0.113
Pm 0.677 0.677 0.562
Pm 0.987 0.987 0.748
Sn 0.500 0.500 0.000
Te 0.163 0.163 0.831
Te 0.500 0.500 0.500
Te 0.837 0.837 0.169
S 0.169 0.169 0.336
S 0.831 0.831 0.664

Entry 4:
## PmTl2SnS4 (PBE)

Data for an optimized crystal structure of PmTl2SnS4.

Properties
Mass density (g/cm3): 6.2
DOS(E_F) (states/eV/cell): 3.594

Lattice parameters (Å, degrees): 7.139 4.046 7.827 90.00 107.41 90.00
Positions (direct):
Pm 0.000 0.000 0.000
Tl 0.000 0.500 0.500
Tl 0.500 0.000 0.500
Sn 0.500 0.500 0.000
S 0.242 0.500 0.201
S 0.271 0.000 0.798
S 0.729 0.000 0.202
S 0.758 0.500 0.799

Entry 5:
## Pm2Tl3SnS6 (PBE)

Data for an optimized crystal structure of Pm2Tl3SnS6.

Properties
Mass density (g/cm3): 6.2
DOS(E_F) (states/eV/cell): 4.304

Lattice parameters (Å, degrees): 7.126 7.126 7.816 98.70 98.70 120.02
Positions (direct):
Pm 0.166 0.834 0.000
Pm 0.834 0.166 0.000
Tl 0.000 0.000 0.500
Tl 0.329 0.671 0.500
Tl 0.671 0.329 0.500
Sn 0.500 0.500 0.000
S 0.109 0.434 0.800
S 0.243 0.243 0.205
S 0.434 0.109 0.800
S 0.566 0.891 0.200
S 0.757 0.757 0.795
S 0.891 0.566 0.200

Entry 6:
## Pm3Tl3SnS8 (PBE)

Data for an optimized crystal structure of Pm3Tl3SnS8.

Properties
Mass density (g/cm3): 5.4
DOS(E_F) (states/eV/cell): 0.697

Lattice parameters (Å, degrees): 8.956 8.956 8.956 54.06 54.06 54.06
Positions (direct):
Pm 0.000 0.500 0.500
Pm 0.500 0.000 0.500
Pm 0.500 0.500 0.000
Tl 0.000 0.000 0.500
Tl 0.000 0.500 0.000
Tl 0.500 0.000 0.000
Sn 0.000 0.000 0.000
S 0.219 0.219 0.755
S 0.219 0.755 0.219
S 0.245 0.781 0.781
S 0.266 0.266 0.266
S 0.734 0.734 0.734
S 0.755 0.219 0.219
S 0.781 0.245 0.781
S 0.781 0.781 0.245

Entry 7:
## PmTlSnS4 (PBE)

Data for an optimized crystal structure of PmTlSnS4.

Properties
Mass density (g/cm3): 4.9
DOS(E_F) (states/eV/cell): 0.000

Lattice parameters (Å, degrees): 6.871 6.928 8.855 90.00 107.11 90.00
Positions (direct):
Pm 0.217 0.250 0.054
Pm 0.783 0.750 0.946
Tl 0.269 0.250 0.567
Tl 0.731 0.750 0.433
Sn 0.239 0.750 0.824
Sn 0.761 0.250 0.176
S 0.004 0.511 0.209
S 0.004 0.989 0.209
S 0.453 0.750 0.657
S 0.462 0.750 0.090
S 0.538 0.250 0.910
S 0.547 0.250 0.343
S 0.996 0.011 0.791
S 0.996 0.489 0.791

Entry 8:
## PmTlSnS3 (PBE)

Data for an optimized crystal structure of PmTlSnS3.

Properties
Mass density (g/cm3): 4.5
DOS(E_F) (states/eV/cell): 0.000

Lattice parameters (Å, degrees): 7.902 4.075 13.331 90.00 105.37 90.00
Positions (direct):
Pm 0.132 0.250 0.133
Pm 0.868 0.750 0.867
Tl 0.349 0.250 0.859
Tl 0.651 0.750 0.141
Sn 0.363 0.750 0.377
Sn 0.637 0.250 0.623
S 0.049 0.750 0.257
S 0.214 0.750 0.005
S 0.466 0.250 0.278
S 0.534 0.750 0.722
S 0.786 0.250 0.995
S 0.951 0.250 0.743

Entry 9:
## SrPm5S6 (PBE)

Data for an optimized crystal structure of SrPm5S6.

Properties
Mass density (g/cm3): 5.9
DOS(E_F) (states/eV/cell): 5.008

Lattice parameters (Å, degrees): 7.039 7.039 7.050 99.55 99.55 120.12
Positions (direct):
Sr 0.000 0.000 0.000
Pm 0.165 0.835 0.500
Pm 0.333 0.667 0.000
Pm 0.500 0.500 0.500
Pm 0.667 0.333 0.000
Pm 0.835 0.165 0.500
S 0.085 0.422 0.254
S 0.254 0.254 0.750
S 0.422 0.085 0.254
S 0.578 0.915 0.746
S 0.746 0.746 0.250
S 0.915 0.578 0.746

Entry 10:
## SrPmS2 (PBE)

Data for an optimized crystal structure of SrPmS2.

Properties
Mass density (g/cm3): 4.9
E above lowest polymorph (eV per atom): 0.030
DOS(E_F) (states/eV/cell): 2.286

Lattice parameters (Å, degrees): 4.079 4.079 13.996 90.00 90.00 120.00
Positions (direct):
Sr 0.333 0.667 0.250
Sr 0.667 0.333 0.750
Pm 0.000 0.000 0.000
Pm 0.000 0.000 0.500
S 0.333 0.667 0.617
S 0.333 0.667 0.883
S 0.667 0.333 0.117
S 0.667 0.333 0.383

Entry 11:
## SrPmS (PBE)

Data for an optimized crystal structure of SrPmS.

Properties
Mass density (g/cm3): 4.5
DOS(E_F) (states/eV/cell): 2.874

Lattice parameters (Å, degrees): 5.720 5.720 10.723 117.60 117.60 39.30
Positions (direct):
Sr 0.218 0.218 0.158
Sr 0.782 0.782 0.842
Pm 0.413 0.413 0.605
Pm 0.587 0.587 0.395
S 0.062 0.062 0.840
S 0.938 0.938 0.160

Entry 12:
## SrPmS2 (PBE)

Data for an optimized crystal structure of SrPmS2.

Properties
Mass density (g/cm3): 4.9
E above lowest polymorph (eV per atom): 0.000
DOS(E_F) (states/eV/cell): 1.441

Lattice parameters (Å, degrees): 4.104 4.104 7.282 106.29 106.29 59.99
Positions (direct):
Sr 0.000 0.000 0.000
Pm 0.500 0.500 0.500
S 0.246 0.246 0.738
S 0.754 0.754 0.262

Entry 13:
## SrPm3S4 (PBE)

Data for an optimized crystal structure of SrPm3S4.

Properties
Mass density (g/cm3): 5.6
DOS(E_F) (states/eV/cell): 1.909

Lattice parameters (Å, degrees): 7.074 7.074 7.074 131.93 131.93 70.34
Positions (direct):
Sr 0.000 0.000 0.000
Pm 0.250 0.750 0.500
Pm 0.500 0.500 0.000
Pm 0.750 0.250 0.500
S 0.000 0.500 0.500
S 0.251 0.251 0.000
S 0.500 0.000 0.500
S 0.749 0.749 0.000

Entry 14:
## Sr3Pm4S8 (PBE)

Data for an optimized crystal structure of Sr3Pm4S8.

Properties
Mass density (g/cm3): 4.6
DOS(E_F) (states/eV/cell): 4.112

Lattice parameters (Å, degrees): 8.255 8.255 8.211 119.64 119.64 90.14
Positions (direct):
Sr 0.000 0.000 0.000
Sr 0.000 0.500 0.000
Sr 0.500 0.000 0.000
Pm 0.000 0.500 0.500
Pm 0.500 0.000 0.500
Pm 0.500 0.500 0.000
Pm 0.500 0.500 0.500
S 0.254 0.746 0.000
S 0.257 0.743 0.500
S 0.260 0.260 0.510
S 0.268 0.268 0.021
S 0.732 0.732 0.979
S 0.740 0.740 0.490
S 0.743 0.257 0.500
S 0.746 0.254 0.000

Entry 15:
## SrPm4S6 (PBE)

Data for an optimized crystal structure of SrPm4S6.

Properties
Mass density (g/cm3): 5.1
DOS(E_F) (states/eV/cell): 6.690

Lattice parameters (Å, degrees): 6.983 6.983 20.636 90.00 90.00 146.39
Positions (direct):
Sr 0.157 0.843 0.750
Sr 0.843 0.157 0.250
Pm 0.095 0.905 0.130
Pm 0.095 0.905 0.370
Pm 0.363 0.637 0.041
Pm 0.363 0.637 0.459
Pm 0.637 0.363 0.541
Pm 0.637 0.363 0.959
Pm 0.905 0.095 0.630
Pm 0.905 0.095 0.870
S 0.000 0.000 0.000
S 0.000 0.000 0.500
S 0.184 0.816 0.250
S 0.270 0.730 0.586
S 0.270 0.730 0.914
S 0.457 0.543 0.163
S 0.457 0.543 0.337
S 0.543 0.457 0.663
S 0.543 0.457 0.837
S 0.730 0.270 0.086
S 0.730 0.270 0.414
S 0.816 0.184 0.750

Entry 16:
## SrPmS2 (PBE)

Data for an optimized crystal structure of SrPmS2.

Properties
Mass density (g/cm3): 4.8
E above lowest polymorph (eV per atom): 0.093
DOS(E_F) (states/eV/cell): 2.021

Lattice parameters (Å, degrees): 7.559 7.559 7.559 31.05 31.05 31.05
Positions (direct):
Sr 0.000 0.000 0.000
Pm 0.826 0.826 0.826
S 0.240 0.240 0.240
S 0.417 0.417 0.417

Entry 17:
## SrPm3S4 (PBE)

Data for an optimized crystal structure of SrPm3S4.

Properties
Mass density (g/cm3): 5.6
DOS(E_F) (states/eV/cell): 2.952

Lattice parameters (Å, degrees): 7.082 7.082 4.059 90.00 90.00 109.10
Positions (direct):
Sr 0.000 0.000 0.000
Pm 0.000 0.500 0.500
Pm 0.500 0.000 0.500
Pm 0.500 0.500 0.000
S 0.252 0.748 0.000
S 0.257 0.257 0.500
S 0.743 0.743 0.500
S 0.748 0.252 0.000

Entry 18:
## Sr5PmS6 (PBE)

Data for an optimized crystal structure of Sr5PmS6.

Properties
Mass density (g/cm3): 4.0
DOS(E_F) (states/eV/cell): 2.413

Lattice parameters (Å, degrees): 7.327 7.327 7.331 99.60 99.60 119.98
Positions (direct):
Sr 0.000 0.000 0.000
Sr 0.166 0.834 0.500
Sr 0.332 0.668 0.000
Sr 0.668 0.332 0.000
Sr 0.834 0.166 0.500
Pm 0.500 0.500 0.500
S 0.096 0.419 0.257
S 0.259 0.259 0.744
S 0.419 0.096 0.257
S 0.581 0.904 0.743
S 0.741 0.741 0.256
S 0.904 0.581 0.743

Entry 19:
## SrPm4S5 (PBE)

Data for an optimized crystal structure of SrPm4S5.

Properties
Mass density (g/cm3): 5.8
DOS(E_F) (states/eV/cell): 2.934

Lattice parameters (Å, degrees): 7.082 7.082 9.999 118.26 118.26 33.25
Positions (direct):
Sr 0.000 0.000 0.000
Pm 0.197 0.197 0.789
Pm 0.403 0.403 0.597
Pm 0.597 0.597 0.403
Pm 0.803 0.803 0.211
S 0.000 0.000 0.500
S 0.200 0.200 0.305
S 0.394 0.394 0.100
S 0.606 0.606 0.900
S 0.800 0.800 0.695

Entry 20:
## SrTbPm2S4 (PBE)

Data for an optimized crystal structure of SrTbPm2S4.

Properties
Mass density (g/cm3): 5.9
DOS(E_F) (states/eV/cell): 2.872

Lattice parameters (Å, degrees): 7.027 4.031 7.044 90.00 109.07 90.00
Positions (direct):
Sr 0.000 0.000 0.000
Tb 0.500 0.500 0.000
Pm 0.000 0.500 0.500
Pm 0.500 0.000 0.500
S 0.259 0.000 0.755
S 0.260 0.500 0.252
S 0.740 0.500 0.748
S 0.741 0.000 0.245

Entry 21:
## SrTb2PmS4 (PBE)

Data for an optimized crystal structure of SrTb2PmS4.

Properties
Mass density (g/cm3): 6.1
DOS(E_F) (states/eV/cell): 2.751

Lattice parameters (Å, degrees): 6.986 4.001 6.993 90.00 109.05 90.00
Positions (direct):
Sr 0.000 0.000 0.000
Tb 0.000 0.500 0.500
Tb 0.500 0.000 0.500
Pm 0.500 0.500 0.000
S 0.249 0.000 0.738
S 0.259 0.500 0.266
S 0.741 0.500 0.734
S 0.751 0.000 0.262

Entry 22:
## Sr2TbPmS4 (PBE)

Data for an optimized crystal structure of Sr2TbPmS4.

Properties
Mass density (g/cm3): 5.1
DOS(E_F) (states/eV/cell): 3.506

Lattice parameters (Å, degrees): 7.063 4.080 7.227 90.00 109.03 90.00
Positions (direct):
Sr 0.000 0.000 0.000
Sr 0.500 0.500 0.000
Tb 0.000 0.500 0.500
Pm 0.500 0.000 0.500
S 0.240 0.000 0.732
S 0.250 0.500 0.264
S 0.750 0.500 0.736
S 0.760 0.000 0.268

no.,E_form (uncorrected) (eV/atom)
1,-1.573
2,-1.309
3,-1.513
4,-0.895
5,-1.080
6,-1.216
7,-0.956
8,-1.093
9,-2.031
10,-2.025
11,-1.032
12,-2.055
13,-2.031
14,-2.055
15,-2.063
16,-1.962
17,-2.032
18,-2.104
19,-2.041
20,-2.019
21,-2.021
22,-2.048